The following is a PBE calculation of a geometry-optimized Rb2AlBiF6 structure, from Alexandria.

The calculation puts the energy at -4.794 eV/atom. The crystal system is tetragonal. The raw formation energy comes out at -2716 meV per atom. As for the density: 4343 kg/m³.

The space group is I4/mmm (No. 139) and the conventional cell measures 5.948, 5.948 and 11.257 Å, with angles of 90.00, 90.00 and 90.00 degrees. The inequivalent atoms are Rb at (0.000, 0.500, 0.250), Al at (0.000, 0.000, 0.000), Bi at (0.000, 0.000, 0.500), F at (0.000, 0.000, 0.160) and F at (0.220, 0.220, 0.000).

***

The following is a PBE calculation of a geometry-optimized CdIn6Bi5 structure, from Alexandria.

The calculation puts the energy at -3.022 eV/atom. As for the energy of formation: 0.04 eV/atom. The crystal system is monoclinic. As for the density: 8633 kg/m³.

The space group is C2/m (No. 12) and the conventional cell measures 11.338, 14.839 and 4.603 Å, with angles of 90.00, 113.50 and 90.00 degrees. The inequivalent atoms are Cd at (0.000, 0.000, 0.000), In at (0.248, 0.166, 0.244), In at (0.249, 0.000, 0.748), Bi at (0.000, 0.161, 0.500), Bi at (0.000, 0.327, 0.000) and Bi at (0.000, 0.500, 0.500).

***

How do the records compare in N(E_F)? In the order shown, they have 0.00 9.81 states/eV/cell.